[1]
Computed, not measured: an optimized crystal structure of Hf3PC at the PBEsol level of DFT.

Structure (POSCAR):
```
Hf3PC
1.0
4.691 0.000 0.000
0.000 4.691 0.000
0.000 0.000 4.691
Hf C P
3 1 1
direct
0.500 0.000 0.000
0.000 0.000 0.500
0.000 0.500 0.000
0.500 0.500 0.500
0.000 0.000 0.000
```

Values from the calculation:
- DOS(E_F): 1.099 states/eV/atom
- Symmetry: Pm-3m
- Total energy: -8.230 eV/atom
- Density: 9.31 g/cm3
- Energy of formation: 1.1591 eV/atom
- Calculated volume: 103.2 Å³ per cell

***

[2]
Computed, not measured: an optimized crystal structure of HfP3C at the PBEsol level of DFT.

Structure (POSCAR):
```
HfP3C
1.0
4.051 0.000 0.000
0.000 4.051 0.000
0.000 0.000 4.051
P Hf C
3 1 1
direct
0.000 0.500 0.000
0.000 0.000 0.500
0.500 0.000 0.000
0.500 0.500 0.500
0.000 0.000 0.000
```

Values from the calculation:
- DOS(E_F): 0.697 states/eV/atom
- Symmetry: Pm-3m
- Total energy: -7.035 eV/atom
- Density: 7.08 g/cm3
- Energy of formation: 0.4697 eV/atom
- Calculated volume: 66.5 Å³ per cell

***

The highest DOS(E_F) belongs to which entry?
Hf3PC

***

The lowest density belongs to which entry?
HfP3C